# Rb2CrGaO4, optimized geometry, DFT GGA+U
# Spin magnetization, μB per formula unit: 3.00
# Raw total energy, eV per cell: -360.0
data_Rb2CrGaO4
_symmetry_space_group_name_H-M 'F d d d'
_symmetry_Int_Tables_number 70
_cell_length_a 5.377
_cell_length_b 12.319
_cell_length_c 20.368
_cell_angle_alpha 90.00
_cell_angle_beta 90.00
_cell_angle_gamma 90.00
loop_
_symmetry_equiv_pos_as_xyz
'x,y,z'
'-x,-y,-z'
'-x+1/4,-y+1/4,z'
'x+1/4,y+1/4,-z'
'x,-y+1/4,-z+1/4'
'-x,y+1/4,z+1/4'
'-x+1/4,y,-z+1/4'
'x+1/4,-y,z+1/4'
'x,y+1/2,z+1/2'
'-x,-y+1/2,-z+1/2'
'-x+1/4,-y+3/4,z+1/2'
'x+1/4,y+3/4,-z+1/2'
'x,-y+3/4,-z+3/4'
'-x,y+3/4,z+3/4'
'-x+1/4,y+1/2,-z+3/4'
'x+1/4,-y+1/2,z+3/4'
'x+1/2,y,z+1/2'
'-x+1/2,-y,-z+1/2'
'-x+3/4,-y+1/4,z+1/2'
'x+3/4,y+1/4,-z+1/2'
'x+1/2,-y+1/4,-z+3/4'
'-x+1/2,y+1/4,z+3/4'
'-x+3/4,y,-z+3/4'
'x+3/4,-y,z+3/4'
'x+1/2,y+1/2,z'
'-x+1/2,-y+1/2,-z'
'-x+3/4,-y+3/4,z'
'x+3/4,y+3/4,-z'
'x+1/2,-y+3/4,-z+1/4'
'-x+1/2,y+3/4,z+1/4'
'-x+3/4,y+1/2,-z+1/4'
'x+3/4,-y+1/2,z+1/4'
loop_
_atom_site_label
_atom_site_type_symbol
_atom_site_fract_x
_atom_site_fract_y
_atom_site_fract_z
Rb1 Rb 0.125 0.125 0.302
Cr1 Cr 0.125 0.125 0.125
Ga1 Ga 0.125 0.125 0.625
O1 O 0.121 0.292 0.832